Below is a relaxed Gd2CoOs crystal, with properties calculated at the PBE-GGA level.

a b c (Å): 3.4240 3.4240 6.7593
angles (deg): 90.00 90.00 90.00
Closest atoms and distances in Å follow each position.
Fractional coordinates of all 4 atoms:
Gd (0.0000, 0.0000, 0.2480)  4 Co 2.94, 4 Os 2.96
Gd (0.0000, 0.0000, 0.7520)  4 Co 2.94, 4 Os 2.96
Co (0.5000, 0.5000, 0.0000)  8 Gd 2.94
Os (0.5000, 0.5000, 0.5000)  8 Gd 2.96

The value obtained for the magnetic moment is 13.63 μB per formula unit. Its crystal system is tetragonal. The symmetry is P4/mmm. The value obtained for the total energy is -46.7 eV per formula unit. As for the formation energy: -0.233 eV/f.u.

***

Below is a relaxed GdPaCoOs crystal, with properties calculated at the PBE-GGA level.

a b c (Å): 6.8012 6.8012 6.8012
angles (deg): 90.00 90.00 90.00
Closest atoms and distances in Å follow each position.
Fractional coordinates of all 16 atoms:
Gd (0.0000, 0.0000, 0.0000)  4 Os 2.94, 4 Co 2.94
Gd (0.0000, 0.5000, 0.5000)  4 Os 2.94, 4 Co 2.94
Gd (0.5000, 0.0000, 0.5000)  4 Os 2.94, 4 Co 2.94
Gd (0.5000, 0.5000, 0.0000)  4 Os 2.94, 4 Co 2.94
Pa (0.0000, 0.0000, 0.5000)  4 Co 2.94, 4 Os 2.94
Pa (0.0000, 0.5000, 0.0000)  4 Co 2.94, 4 Os 2.94
Pa (0.5000, 0.0000, 0.0000)  4 Co 2.94, 4 Os 2.94
Pa (0.5000, 0.5000, 0.5000)  4 Co 2.94, 4 Os 2.94
Co (0.2500, 0.2500, 0.2500)  4 Gd 2.94, 4 Pa 2.94
Co (0.2500, 0.7500, 0.7500)  4 Gd 2.94, 4 Pa 2.94
Co (0.7500, 0.2500, 0.7500)  4 Gd 2.94, 4 Pa 2.94
Co (0.7500, 0.7500, 0.2500)  4 Gd 2.94, 4 Pa 2.94
Os (0.2500, 0.2500, 0.7500)  4 Gd 2.94, 4 Pa 2.94
Os (0.2500, 0.7500, 0.2500)  4 Gd 2.94, 4 Pa 2.94
Os (0.7500, 0.2500, 0.2500)  4 Gd 2.94, 4 Pa 2.94
Os (0.7500, 0.7500, 0.7500)  4 Gd 2.94, 4 Pa 2.94

The value obtained for the magnetic moment is 6.93 μB per formula unit. Its crystal system is cubic. The symmetry is F-43m. The value obtained for the total energy is -42.5 eV per formula unit. As for the formation energy: -0.553 eV/f.u.

***

Below is a relaxed PmGdCoOs crystal, with properties calculated at the PBE-GGA level.

a b c (Å): 6.8933 6.8933 6.8933
angles (deg): 90.00 90.00 90.00
Closest atoms and distances in Å follow each position.
Fractional coordinates of all 16 atoms:
Pm (0.0000, 0.0000, 0.0000)  4 Co 2.98, 4 Os 2.98
Pm (0.0000, 0.5000, 0.5000)  4 Co 2.98, 4 Os 2.98
Pm (0.5000, 0.0000, 0.5000)  4 Co 2.98, 4 Os 2.98
Pm (0.5000, 0.5000, 0.0000)  4 Co 2.98, 4 Os 2.98
Gd (0.0000, 0.0000, 0.5000)  4 Co 2.98, 4 Os 2.98
Gd (0.0000, 0.5000, 0.0000)  4 Co 2.98, 4 Os 2.98
Gd (0.5000, 0.0000, 0.0000)  4 Co 2.98, 4 Os 2.98
Gd (0.5000, 0.5000, 0.5000)  4 Co 2.98, 4 Os 2.98
Co (0.2500, 0.2500, 0.2500)  4 Gd 2.98, 4 Pm 2.98
Co (0.2500, 0.7500, 0.7500)  4 Gd 2.98, 4 Pm 2.98
Co (0.7500, 0.2500, 0.7500)  4 Gd 2.98, 4 Pm 2.98
Co (0.7500, 0.7500, 0.2500)  4 Gd 2.98, 4 Pm 2.98
Os (0.2500, 0.2500, 0.7500)  4 Gd 2.98, 4 Pm 2.98
Os (0.2500, 0.7500, 0.2500)  4 Gd 2.98, 4 Pm 2.98
Os (0.7500, 0.2500, 0.2500)  4 Gd 2.98, 4 Pm 2.98
Os (0.7500, 0.7500, 0.7500)  4 Pm 2.98, 4 Gd 2.98

The value obtained for the magnetic moment is 7.81 μB per formula unit. Its crystal system is cubic. The symmetry is F-43m. The value obtained for the total energy is -37.1 eV per formula unit. As for the formation energy: 0.098 eV/f.u.